Compound: LaPrMg6
Source: the Open Quantum Materials Database
Functional: GGA-PBE
Structure: relaxed

Structure (CIF):
```
data_LaPrMg6
_chemical_formula_sum 'La1 Pr1 Mg6'
_symmetry_space_group_name_H-M 'P 1'
_symmetry_Int_Tables_number 1
_cell_length_a 5.280
_cell_length_b 5.280
_cell_length_c 7.465
_cell_angle_alpha 90.00
_cell_angle_beta 90.00
_cell_angle_gamma 90.00
loop_
_symmetry_equiv_pos_as_xyz
'x,y,z'
loop_
_atom_site_label
_atom_site_fract_x
_atom_site_fract_y
_atom_site_fract_z
Mg1 0.500 0.500 0.500
Mg2 0.500 0.000 0.750
La1 0.000 0.000 0.500
Pr1 0.500 0.500 0.000
Mg3 0.000 0.000 0.000
Mg4 0.500 0.000 0.250
Mg5 0.000 0.500 0.750
Mg6 0.000 0.500 0.250
```

SG   P4/mmm, No. 123
Density   3.4 Mg/m³
Volume   208 Å³/cell
Polymorph energy (0 for the lowest one)   0 meV/atom